(1)
An optimized crystal structure of KZrScSe3, computed with GGA-PBE.

Structure (CIF):
```
data_KZrScSe3
_chemical_formula_sum 'K2 Zr2 Sc2 Se6'
_space_group_name_H-M_alt 'P 1'
_space_group_IT_number 1
_cell_length_a 7.9027
_cell_length_b 7.9027
_cell_length_c 10.4648
_cell_angle_alpha 90.00
_cell_angle_beta 90.00
_cell_angle_gamma 149.03
loop_
_space_group_symop_operation_xyz
'x,y,z'
loop_
_atom_site_label
_atom_site_fract_x
_atom_site_fract_y
_atom_site_fract_z
K1 0.2487 0.7513 0.7500
K2 0.7513 0.2487 0.2500
Zr1 0.4763 0.5237 0.2500
Zr2 0.5237 0.4763 0.7500
Sc1 0.0000 0.0000 0.0000
Sc2 0.0000 0.0000 0.5000
Se1 0.0767 0.9233 0.2500
Se2 0.3800 0.6200 0.0460
Se3 0.3800 0.6200 0.4540
Se4 0.6200 0.3800 0.5460
Se5 0.6200 0.3800 0.9540
Se6 0.9233 0.0767 0.7500
```

***

(2)
An optimized crystal structure of KZrScSe3, computed with GGA-PBE.

Structure (CIF):
```
data_KZrScSe3
_chemical_formula_sum 'K2 Zr2 Sc2 Se6'
_space_group_name_H-M_alt 'P 1'
_space_group_IT_number 1
_cell_length_a 7.8998
_cell_length_b 7.8998
_cell_length_c 10.5409
_cell_angle_alpha 90.00
_cell_angle_beta 90.00
_cell_angle_gamma 150.01
loop_
_space_group_symop_operation_xyz
'x,y,z'
loop_
_atom_site_label
_atom_site_fract_x
_atom_site_fract_y
_atom_site_fract_z
K1 0.2443 0.7557 0.7500
K2 0.7557 0.2443 0.2500
Zr1 0.5000 0.5000 0.0000
Zr2 0.5000 0.5000 0.5000
Sc1 0.0340 0.9660 0.2500
Sc2 0.9660 0.0340 0.7500
Se1 0.1237 0.8763 0.0444
Se2 0.1237 0.8763 0.4556
Se3 0.4299 0.5701 0.2500
Se4 0.5701 0.4299 0.7500
Se5 0.8763 0.1237 0.5444
Se6 0.8763 0.1237 0.9556
```

***

(3)
An optimized crystal structure of KScZnTe3, computed with GGA-PBE.

Structure (CIF):
```
data_KScZnTe3
_chemical_formula_sum 'K2 Sc2 Zn2 Te6'
_space_group_name_H-M_alt 'P 1'
_space_group_IT_number 1
_cell_length_a 10.0286
_cell_length_b 10.0286
_cell_length_c 9.2018
_cell_angle_alpha 101.00
_cell_angle_beta 101.00
_cell_angle_gamma 24.68
loop_
_space_group_symop_operation_xyz
'x,y,z'
loop_
_atom_site_label
_atom_site_fract_x
_atom_site_fract_y
_atom_site_fract_z
K1 0.1417 0.1417 0.0638
K2 0.8583 0.8583 0.9362
Sc1 0.1762 0.1762 0.5711
Sc2 0.8238 0.8238 0.4289
Zn1 0.4692 0.4692 0.2792
Zn2 0.5308 0.5308 0.7208
Te1 0.0000 0.0000 0.5000
Te2 0.3262 0.3262 0.6419
Te3 0.3307 0.3307 0.2158
Te4 0.5000 0.5000 0.0000
Te5 0.6693 0.6693 0.7842
Te6 0.6738 0.6738 0.3581
```

***

(4)
An optimized crystal structure of KScZnTe3, computed with GGA-PBE.

Structure (CIF):
```
data_KScZnTe3
_chemical_formula_sum 'K2 Sc2 Zn2 Te6'
_space_group_name_H-M_alt 'P 1'
_space_group_IT_number 1
_cell_length_a 9.1081
_cell_length_b 4.2690
_cell_length_c 10.7522
_cell_angle_alpha 90.00
_cell_angle_beta 110.30
_cell_angle_gamma 90.00
loop_
_space_group_symop_operation_xyz
'x,y,z'
loop_
_atom_site_label
_atom_site_fract_x
_atom_site_fract_y
_atom_site_fract_z
K1 0.2354 0.2500 0.2706
K2 0.7646 0.7500 0.7294
Sc1 0.3252 0.7500 0.8618
Sc2 0.6748 0.2500 0.1382
Zn1 0.0800 0.2500 0.6079
Zn2 0.9200 0.7500 0.3921
Te1 0.0970 0.2500 0.8567
Te2 0.2331 0.7500 0.5541
Te3 0.4564 0.7500 0.1477
Te4 0.5436 0.2500 0.8523
Te5 0.7669 0.2500 0.4459
Te6 0.9030 0.7500 0.1433
```

***

(5)
An optimized crystal structure of KThSc, computed with GGA-PBE.

Structure (CIF):
```
data_KThSc
_chemical_formula_sum 'K4 Th4 Sc4'
_space_group_name_H-M_alt 'P 1'
_space_group_IT_number 1
_cell_length_a 7.9325
_cell_length_b 7.9325
_cell_length_c 7.9325
_cell_angle_alpha 90.00
_cell_angle_beta 90.00
_cell_angle_gamma 90.00
loop_
_space_group_symop_operation_xyz
'x,y,z'
loop_
_atom_site_label
_atom_site_fract_x
_atom_site_fract_y
_atom_site_fract_z
K1 0.0000 0.0000 0.0000
K2 0.0000 0.5000 0.5000
K3 0.5000 0.0000 0.5000
K4 0.5000 0.5000 0.0000
Th1 0.0000 0.0000 0.5000
Th2 0.0000 0.5000 0.0000
Th3 0.5000 0.0000 0.0000
Th4 0.5000 0.5000 0.5000
Sc1 0.2500 0.2500 0.2500
Sc2 0.2500 0.7500 0.7500
Sc3 0.7500 0.2500 0.7500
Sc4 0.7500 0.7500 0.2500
```

***

(6)
An optimized crystal structure of KScU, computed with GGA-PBE.

Structure (CIF):
```
data_KScU
_chemical_formula_sum 'K4 Sc4 U4'
_space_group_name_H-M_alt 'P 1'
_space_group_IT_number 1
_cell_length_a 7.7211
_cell_length_b 7.7211
_cell_length_c 7.7211
_cell_angle_alpha 90.00
_cell_angle_beta 90.00
_cell_angle_gamma 90.00
loop_
_space_group_symop_operation_xyz
'x,y,z'
loop_
_atom_site_label
_atom_site_fract_x
_atom_site_fract_y
_atom_site_fract_z
K1 0.0000 0.0000 0.0000
K2 0.0000 0.5000 0.5000
K3 0.5000 0.0000 0.5000
K4 0.5000 0.5000 0.0000
Sc1 0.2500 0.2500 0.2500
Sc2 0.2500 0.7500 0.7500
Sc3 0.7500 0.2500 0.7500
Sc4 0.7500 0.7500 0.2500
U1 0.0000 0.0000 0.5000
U2 0.0000 0.5000 0.0000
U3 0.5000 0.0000 0.0000
U4 0.5000 0.5000 0.5000
```

***

(7)
An optimized crystal structure of KZrSc, computed with GGA-PBE.

Structure (CIF):
```
data_KZrSc
_chemical_formula_sum 'K4 Zr4 Sc4'
_space_group_name_H-M_alt 'P 1'
_space_group_IT_number 1
_cell_length_a 7.7590
_cell_length_b 7.7590
_cell_length_c 7.7590
_cell_angle_alpha 90.00
_cell_angle_beta 90.00
_cell_angle_gamma 90.00
loop_
_space_group_symop_operation_xyz
'x,y,z'
loop_
_atom_site_label
_atom_site_fract_x
_atom_site_fract_y
_atom_site_fract_z
K1 0.0000 0.0000 0.0000
K2 0.0000 0.5000 0.5000
K3 0.5000 0.0000 0.5000
K4 0.5000 0.5000 0.0000
Zr1 0.0000 0.0000 0.5000
Zr2 0.0000 0.5000 0.0000
Zr3 0.5000 0.0000 0.0000
Zr4 0.5000 0.5000 0.5000
Sc1 0.2500 0.2500 0.2500
Sc2 0.2500 0.7500 0.7500
Sc3 0.7500 0.2500 0.7500
Sc4 0.7500 0.7500 0.2500
```

***

(8)
An optimized crystal structure of KSmSiSe3, computed with GGA-PBE.

Structure (CIF):
```
data_KSmSiSe3
_chemical_formula_sum 'K2 Sm2 Si2 Se6'
_space_group_name_H-M_alt 'P 1'
_space_group_IT_number 1
_cell_length_a 7.2364
_cell_length_b 7.2364
_cell_length_c 11.3603
_cell_angle_alpha 90.00
_cell_angle_beta 90.00
_cell_angle_gamma 142.40
loop_
_space_group_symop_operation_xyz
'x,y,z'
loop_
_atom_site_label
_atom_site_fract_x
_atom_site_fract_y
_atom_site_fract_z
K1 0.2434 0.7566 0.7500
K2 0.7566 0.2434 0.2500
Sm1 0.5000 0.5000 0.0000
Sm2 0.5000 0.5000 0.5000
Si1 0.0228 0.9772 0.2500
Si2 0.9772 0.0228 0.7500
Se1 0.1273 0.8727 0.0723
Se2 0.1273 0.8727 0.4277
Se3 0.4477 0.5523 0.2500
Se4 0.5523 0.4477 0.7500
Se5 0.8727 0.1273 0.5723
Se6 0.8727 0.1273 0.9277
```

***

(9)
An optimized crystal structure of KTbSiSe3, computed with GGA-PBE.

Structure (CIF):
```
data_KTbSiSe3
_chemical_formula_sum 'K2 Tb2 Si2 Se6'
_space_group_name_H-M_alt 'P 1'
_space_group_IT_number 1
_cell_length_a 7.2755
_cell_length_b 7.2755
_cell_length_c 11.1529
_cell_angle_alpha 90.00
_cell_angle_beta 90.00
_cell_angle_gamma 143.01
loop_
_space_group_symop_operation_xyz
'x,y,z'
loop_
_atom_site_label
_atom_site_fract_x
_atom_site_fract_y
_atom_site_fract_z
K1 0.2436 0.7564 0.7500
K2 0.7564 0.2436 0.2500
Tb1 0.5000 0.5000 0.0000
Tb2 0.5000 0.5000 0.5000
Si1 0.0239 0.9761 0.2500
Si2 0.9761 0.0239 0.7500
Se1 0.1259 0.8741 0.0662
Se2 0.1259 0.8741 0.4338
Se3 0.4485 0.5515 0.2500
Se4 0.5515 0.4485 0.7500
Se5 0.8741 0.1259 0.5662
Se6 0.8741 0.1259 0.9338
```

***

(10)
An optimized crystal structure of K4SiTcSe6, computed with GGA-PBE.

Structure (CIF):
```
data_K4SiTcSe6
_chemical_formula_sum 'K4 Si1 Tc1 Se6'
_space_group_name_H-M_alt 'P 1'
_space_group_IT_number 1
_cell_length_a 6.8529
_cell_length_b 7.3919
_cell_length_c 8.9152
_cell_angle_alpha 73.52
_cell_angle_beta 72.29
_cell_angle_gamma 66.89
loop_
_space_group_symop_operation_xyz
'x,y,z'
loop_
_atom_site_label
_atom_site_fract_x
_atom_site_fract_y
_atom_site_fract_z
K1 0.0000 0.0000 0.0000
K2 0.2194 0.3882 0.2361
K3 0.4693 0.7166 0.4307
K4 0.7711 0.6456 0.7922
Si1 0.7578 0.1261 0.4270
Tc1 0.4715 0.2460 0.8053
Se1 0.2771 0.5786 0.8355
Se2 0.4049 0.1522 0.5923
Se3 0.4849 0.9960 0.0343
Se4 0.7474 0.3681 0.2048
Se5 0.8278 0.2154 0.6392
Se6 0.9512 0.8057 0.3942
```

***

Number 1: uncorrected energy -5.723 eV/atom. Number 2: uncorrected energy -5.763 eV/atom. Number 3: uncorrected energy -3.864 eV/atom. Number 4: uncorrected energy -3.995 eV/atom. Number 5: uncorrected energy -3.562 eV/atom. Number 6: uncorrected energy -4.415 eV/atom. Number 7: uncorrected energy -3.836 eV/atom. Number 8: uncorrected energy -4.640 eV/atom. Number 9: uncorrected energy -4.614 eV/atom. Number 10: uncorrected energy -4.269 eV/atom.